DFT (GGA-PBE) results for an optimized crystal structure of AcPaPtN3.

Unit cell a=3.592 b=7.008 c=8.985 alpha=119.13 beta=90.00 gamma=90.00
Atoms (fractional coordinates):
Pa1 0.750 0.263 0.836
Pa2 0.250 0.737 0.164
N1 0.750 0.475 0.116
N2 0.250 0.691 0.434
N3 0.250 0.525 0.884
N4 0.250 0.088 0.877
N5 0.750 0.912 0.123
N6 0.750 0.309 0.566
Ac1 0.250 0.276 0.222
Ac2 0.750 0.724 0.778
Pt1 0.750 0.847 0.484
Pt2 0.250 0.153 0.516

Space-group type: P2_1/m, No. 11
Total moment, μB/cell: 0.00
Raw total energy, eV per formula unit: -50.36
Raw formation energy, eV per atom: -0.96